Record 1
# V2Ga2Ag (GGA-PBE, optimized geometry)
data_V2Ga2Ag
_cell_length_a 6.809
_cell_length_b 6.809
_cell_length_c 3.297
_cell_angle_alpha 90.00
_cell_angle_beta 90.00
_cell_angle_gamma 90.00
_symmetry_space_group_name_H-M 'P 4/m b m'
_symmetry_Int_Tables_number 127
_symmetry_space_group_name_Hall '-P 4 2ab'
loop_
_atom_site_label
_atom_site_fract_x
_atom_site_fract_y
_atom_site_fract_z
V1 0.172 0.328 0.000
Ga1 0.128 0.628 0.500
Ag1 0.000 0.000 0.500
# Formation energy = 0.49 eV/f.u.
# Theoretical density = 7.59 g/cm3
# Raw total energy = -0.1959 Ha/atom
# Polymorph energy (0 for the lowest one) = 0.024 eV/atom
# Total moment = 2.2 μB/cell

Record 2
# ZnAgIr2 (GGA-PBE, optimized geometry)
data_ZnAgIr2
_cell_length_a 2.780
_cell_length_b 3.863
_cell_length_c 5.719
_cell_angle_alpha 90.00
_cell_angle_beta 90.00
_cell_angle_gamma 90.00
_symmetry_space_group_name_H-M 'P m m 2'
_symmetry_Int_Tables_number 25
loop_
_symmetry_equiv_pos_as_xyz
'x,y,z'
'-x,-y,z'
'-x,y,z'
'x,-y,z'
loop_
_atom_site_label
_atom_site_fract_x
_atom_site_fract_y
_atom_site_fract_z
Zn1 0.000 0.000 0.000
Ag1 0.500 0.500 0.760
Ir1 0.000 0.000 0.465
Ir2 0.500 0.500 0.263
# Formation energy = 0.53 eV/f.u.
# Theoretical density = 15.08 g/cm3
# Raw total energy = -0.1959 Ha/atom
# Total moment = 0.0 μB/cell

Record 3
# ErTlAg (GGA-PBE, optimized geometry)
data_ErTlAg
_cell_length_a 4.9294
_cell_length_b 4.9294
_cell_length_c 3.3791
_cell_angle_alpha 90.00
_cell_angle_beta 90.00
_cell_angle_gamma 120.00
_symmetry_space_group_name_H-M 'P -6 m 2'
_symmetry_Int_Tables_number 187
_symmetry_space_group_name_Hall 'P -6 2'
loop_
_atom_site_label
_atom_site_fract_x
_atom_site_fract_y
_atom_site_fract_z
Er1 0.0000 0.0000 0.0000
Tl1 0.3333 0.6667 0.5000
Ag1 0.6667 0.3333 0.5000
# Formation energy = -0.78 eV/f.u.
# Theoretical density = 11.20 g/cm3
# Raw total energy = -0.1293 Ha/atom
# Total moment = 0.0 μB/cell

Record 4
# Rb5ZnIn6 (GGA-PBE, optimized geometry)
data_Rb5ZnIn6
_cell_length_a 10.737
_cell_length_b 17.235
_cell_length_c 7.809
_cell_angle_alpha 90.00
_cell_angle_beta 131.93
_cell_angle_gamma 90.00
_symmetry_space_group_name_H-M 'C 1 2/m 1'
_symmetry_Int_Tables_number 12
loop_
_symmetry_equiv_pos_as_xyz
'x,y,z'
'-x,-y,-z'
'-x,y,-z'
'x,-y,z'
'x+1/2,y+1/2,z'
'-x+1/2,-y+1/2,-z'
'-x+1/2,y+1/2,-z'
'x+1/2,-y+1/2,z'
loop_
_atom_site_label
_atom_site_fract_x
_atom_site_fract_y
_atom_site_fract_z
Rb1 0.000 0.000 0.000
Rb2 0.000 0.143 0.500
Rb3 0.000 0.284 0.000
Zn1 0.000 0.500 0.500
In1 0.124 0.500 0.272
In2 0.157 0.359 0.548
# Formation energy = -0.25 eV/f.u.
# Theoretical density = 3.65 g/cm3
# Raw total energy = -0.0698 Ha/atom
# Total moment = 0.0 μB/cell

Record 5
# EuTePt (GGA-PBE, optimized geometry)
data_EuTePt
_cell_length_a 4.5838
_cell_length_b 4.5838
_cell_length_c 4.2444
_cell_angle_alpha 90.00
_cell_angle_beta 90.00
_cell_angle_gamma 120.00
_symmetry_space_group_name_H-M 'P 3 m 1'
_symmetry_Int_Tables_number 156
loop_
_symmetry_equiv_pos_as_xyz
'x,y,z'
'-y,x-y,z'
'-x+y,-x,z'
'-y,-x,z'
'-x+y,y,z'
'x,x-y,z'
loop_
_atom_site_label
_atom_site_fract_x
_atom_site_fract_y
_atom_site_fract_z
Eu1 0.0000 0.0000 0.0000
Te1 0.6667 0.3333 0.4942
Pt1 0.3333 0.6667 0.5197
# Formation energy (no corrections) = -1.08 eV/atom
# Theoretical density = 10.21 g/cm3
# Raw total energy = -0.2782 Ha/atom
# Total moment = 7.0 μB/cell

Record 6
# HoAlZn2 (GGA-PBE, optimized geometry)
data_HoAlZn2
_cell_length_a 6.668
_cell_length_b 6.668
_cell_length_c 6.668
_cell_angle_alpha 90.00
_cell_angle_beta 90.00
_cell_angle_gamma 90.00
_symmetry_space_group_name_H-M 'F m -3 m'
_symmetry_Int_Tables_number 225
_symmetry_space_group_name_Hall '-F 4 2 3'
loop_
_atom_site_label
_atom_site_fract_x
_atom_site_fract_y
_atom_site_fract_z
Ho1 0.000 0.000 0.000
Al1 0.000 0.000 0.500
Zn1 0.250 0.250 0.250
# Formation energy = -1.16 eV/f.u.
# Theoretical density = 7.23 g/cm3
# Raw total energy = -0.1105 Ha/atom
# Total moment = 0.0 μB/cell